DFT (PBE+U) results for a relaxed LiCoPO4 crystal.

## Properties
Raw total energy in eV for the cell shown: -92.54
Size of the total moment in μB/cell: 6.02
Symmetry: Cmcm
V in A^3/atom: 10.1

Cell: 4.9543 4.9543 6.2622 Å, 90.00 90.00 112.55°
Positions (direct):
P (0.6501, 0.3499, 0.7500)
P (0.3499, 0.6501, 0.2500)
Li (0.6709, 0.3291, 0.2500)
Li (0.3291, 0.6709, 0.7500)
O (0.7552, 0.2448, 0.9530)
O (0.7615, 0.6940, 0.7500)
O (0.6940, 0.7615, 0.2500)
O (0.2385, 0.3060, 0.2500)
O (0.7552, 0.2448, 0.5470)
O (0.2448, 0.7552, 0.0470)
O (0.3060, 0.2385, 0.7500)
O (0.2448, 0.7552, 0.4530)
Co (0.0000, 0.0000, 0.0000)
Co (0.0000, 0.0000, 0.5000)